No. 1
The following is a DFT calculation (PBE) of an optimized crystal structure of ScAgRh2.

a b c (Å): 2.999 2.999 7.444
angles (deg): 90.00 90.00 89.99
Each line ends with the local moment (μB).
Element x y z (fractional)
Rh 0.000 0.000 0.012  0.49
Rh 0.500 0.500 0.251  0.20
Ag 0.500 0.500 0.762  0.01
Sc 0.000 0.000 0.475  -0.01

Volume (Å³/cell): 66.9
Mass density (Mg/m³): 8.90
Energy of formation (eV/f.u.): -0.588
Electronic total energy (eV/atom): -6.118

No. 2
The following is a DFT calculation (PBE) of an optimized crystal structure of ScAgRh2.

a b c (Å): 4.966 4.966 4.966
angles (deg): 132.65 132.66 69.20
Element x y z (fractional)
Sc 0.500 0.500 0.000
Ag 0.250 0.750 0.500
Rh 0.000 0.000 0.000
Rh 0.750 0.250 0.500

Volume (Å³/cell): 65.0
Mass density (Mg/m³): 9.16
Energy of formation (eV/f.u.): -1.414
Electronic total energy (eV/atom): -6.325

No. 3
The following is a DFT calculation (PBE) of an optimized crystal structure of ScAgRh.

a b c (Å): 4.432 4.432 4.432
angles (deg): 60.00 60.00 60.00
Element x y z (fractional)
Ag 0.500 0.500 0.500
Rh 0.750 0.750 0.750
Sc 0.000 0.000 0.000

Volume (Å³/cell): 61.5
Mass density (Mg/m³): 6.90
Energy of formation (eV/f.u.): -0.632
Electronic total energy (eV/atom): -5.722
Distance to the lowest polymorph of the same formula (eV/atom): 0.260

No. 4
The following is a DFT calculation (PBE) of an optimized crystal structure of ScAgRh3.

a b c (Å): 4.771 4.771 4.771
angles (deg): 90.00 90.00 90.00
Each line ends with the local moment (μB).
Element x y z (fractional)
Rh 0.000 0.500 0.000  0.32
Rh 0.500 0.000 0.000  0.23
Rh 0.000 0.000 0.500  0.40
Sc 0.500 0.500 0.500  -0.06
Ag 0.000 0.000 0.000  0.01

Volume (Å³/cell): 108.6
Mass density (Mg/m³): 7.06
Energy of formation (eV/f.u.): 5.780
Electronic total energy (eV/atom): -5.091
Distance to the lowest polymorph of the same formula (eV/atom): 0.335

No. 5
The following is a DFT calculation (PBE) of an optimized crystal structure of ScAgRh.

a b c (Å): 5.298 5.298 3.333
angles (deg): 71.67 71.66 36.67
Element x y z (fractional)
Ag 0.998 0.998 0.002
Sc 0.683 0.683 0.317
Rh 0.320 0.320 0.680

Volume (Å³/cell): 52.7
Mass density (Mg/m³): 8.06
Energy of formation (eV/f.u.): -1.412
Electronic total energy (eV/atom): -5.982
Distance to the lowest polymorph of the same formula (eV/atom): 0.000

No. 6
The following is a DFT calculation (PBE) of an optimized crystal structure of ScAgSnRh.

a b c (Å): 4.685 4.685 4.685
angles (deg): 60.00 60.00 60.00
Element x y z (fractional)
Ag 0.500 0.500 0.500
Sn 0.250 0.250 0.250
Rh 0.000 0.000 0.000
Sc 0.750 0.750 0.750

Volume (Å³/cell): 72.7
Mass density (Mg/m³): 8.55
Energy of formation (eV/f.u.): -2.138
Electronic total energy (eV/atom): -5.669

No. 7
The following is a DFT calculation (PBE) of an optimized crystal structure of Sc2AgSnRh.

a b c (Å): 5.005 4.887 5.005
angles (deg): 90.00 90.00 90.00
Element x y z (fractional)
Sc 0.000 0.000 0.500
Sc 0.500 0.000 0.000
Rh 0.000 0.500 0.000
Sn 0.500 0.500 0.500
Ag 0.000 0.000 0.000

Volume (Å³/cell): 122.4
Mass density (Mg/m³): 5.69
Energy of formation (eV/f.u.): 1.893
Electronic total energy (eV/atom): -4.995
Distance to the lowest polymorph of the same formula (eV/atom): 0.000

No. 8
The following is a DFT calculation (PBE) of an optimized crystal structure of Sc2AgSnRh.

a b c (Å): 5.322 4.924 5.322
angles (deg): 90.00 90.00 90.00
Each line ends with the local moment (μB).
Element x y z (fractional)
Sc 0.000 0.000 0.500  0.06
Sc 0.500 0.000 0.000  0.04
Rh 0.500 0.500 0.500  -0.24
Ag 0.000 0.500 0.000  0.00
Sn 0.000 0.000 0.000  0.00

Volume (Å³/cell): 139.5
Mass density (Mg/m³): 4.99
Energy of formation (eV/f.u.): 3.711
Electronic total energy (eV/atom): -4.631
Distance to the lowest polymorph of the same formula (eV/atom): 0.364